No. 1
Compound: Er4TmPd2
Source: Alexandria
Functional: PBE
Structure: optimized geometry

- total moment (μB/cell) = 0.00
- ΔH_f (0 K) (eV per atom) = -0.458
- electronic total energy (eV/cell) = -72.63
- D(E_F) (states/eV/f.u.) = 7.94
- space-group type = P2_1/m (11)

```
Er4TmPd2
1.0
-0.7250 6.1252 -1.1641
-2.9524 -1.6769 -6.9850
-5.6379 0.4170 5.7054
Pd Er Tm
4 8 2
direct
0.2500 0.6173 0.5806
0.2500 0.2334 0.9892
0.7500 0.7666 0.0107
0.7500 0.3827 0.4194
0.7500 0.7554 0.6537
0.2500 0.2446 0.3463
0.2500 0.9787 0.6072
0.4963 0.5924 0.2283
0.7500 0.0213 0.3928
0.5037 0.4076 0.7717
0.0037 0.5924 0.2283
0.9963 0.4076 0.7717
0.2500 0.8435 0.9733
0.7500 0.1565 0.0267
```

No. 2
Compound: Er3Tm3Pd4
Source: Alexandria
Functional: PBE
Structure: optimized geometry

- total moment (μB/cell) = 0.00
- ΔH_f (0 K) (eV per atom) = -0.770
- electronic total energy (eV/cell) = -55.57
- D(E_F) (states/eV/f.u.) = 6.80
- space-group type = Amm2 (38)

```
Er3Tm3Pd4
1.0
3.9499 0.0000 0.0000
0.0000 7.6854 -0.0286
0.0000 0.0391 7.6854
Tm Pd Er
3 4 3
direct
0.0000 0.0000 0.5003
0.5000 0.1642 0.8358
0.0000 0.4997 0.0000
0.0000 0.3642 0.6358
0.0000 0.6345 0.3655
0.0000 0.8663 0.8648
0.0000 0.1352 0.1337
0.5000 0.3358 0.3362
0.5000 0.6638 0.6642
0.5000 0.8363 0.1637
```

No. 3
Compound: Er6TmPd3
Source: Alexandria
Functional: PBE
Structure: optimized geometry

- total moment (μB/cell) = 0.00
- ΔH_f (0 K) (eV per atom) = -0.520
- electronic total energy (eV/cell) = -105.25
- D(E_F) (states/eV/f.u.) = 10.80
- space-group type = Cmc2_1 (36)

```
Er6TmPd3
1.0
7.1743 0.0000 0.0000
0.0000 8.5426 -1.1796
0.0000 -0.1246 8.6228
Er Pd Tm
12 6 2
direct
0.6600 0.9650 0.0350
0.1686 0.7068 0.6285
0.1600 0.0350 0.9650
0.1686 0.3715 0.2932
0.0195 0.7708 0.2292
0.8219 0.4208 0.0349
0.3219 0.5792 0.9651
0.8219 0.9651 0.5792
0.3219 0.0349 0.4208
0.5195 0.2292 0.7708
0.6686 0.6285 0.7068
0.6686 0.2932 0.3715
0.8738 0.5787 0.4213
0.4557 0.9118 0.7071
0.9557 0.7071 0.9118
0.4557 0.2929 0.0882
0.9557 0.0882 0.2929
0.3738 0.4213 0.5787
0.0398 0.3182 0.6818
0.5398 0.6818 0.3182
```

No. 4
Compound: Er2Tm3Pd2
Source: Alexandria
Functional: PBE
Structure: optimized geometry

- total moment (μB/cell) = 0.00
- ΔH_f (0 K) (eV per atom) = -0.418
- electronic total energy (eV/cell) = -35.85
- D(E_F) (states/eV/f.u.) = 7.98
- space-group type = C2/m (12)

```
Er2Tm3Pd2
1.0
-3.4881 0.1245 1.1318
2.0267 -6.8118 6.9955
0.1990 1.1857 6.4118
Tm Er Pd
3 2 2
direct
0.1564 0.7106 0.6879
0.8436 0.2894 0.3121
0.0000 0.0000 0.0000
0.3877 0.6251 0.2246
0.6123 0.3749 0.7754
0.6401 0.9276 0.7203
0.3599 0.0724 0.2797
```

No. 5
Compound: Er3TmPd4
Source: Alexandria
Functional: PBE
Structure: optimized geometry

- total moment (μB/cell) = 0.00
- ΔH_f (0 K) (eV per atom) = -0.930
- electronic total energy (eV/cell) = -92.74
- D(E_F) (states/eV/f.u.) = 3.65
- space-group type = P4/mmm (123)

```
Er3TmPd4
1.0
-0.9259 -4.5494 1.7233
2.5259 -2.6894 -5.7427
9.0135 -0.2825 4.0968
Pd Er Tm
8 6 2
direct
0.5000 0.7490 0.0000
0.9992 0.7491 0.2500
0.5000 0.7490 0.5000
0.9992 0.2509 0.2500
0.0008 0.7491 0.7500
0.0008 0.2509 0.7500
0.5000 0.2510 0.5000
0.5000 0.2510 0.0000
0.0000 0.0000 0.0000
0.4995 0.5000 0.2500
0.5005 0.5000 0.7500
0.0000 0.0000 0.5000
0.5004 0.0000 0.7500
0.4996 0.0000 0.2500
0.0000 0.5000 0.0000
0.0000 0.5000 0.5000
```

No. 6
Compound: ErTm4Pd4
Source: Alexandria
Functional: PBE
Structure: optimized geometry

- total moment (μB/cell) = 0.00
- ΔH_f (0 K) (eV per atom) = -0.703
- electronic total energy (eV/cell) = -99.09
- D(E_F) (states/eV/f.u.) = 6.60
- space-group type = P4_2/n (86)

```
ErTm4Pd4
1.0
-5.6053 -0.3933 -0.9130
1.4320 -6.3432 -6.0594
-0.5987 -6.1960 6.3446
Tm Pd Er
8 8 2
direct
0.0904 0.8228 0.4080
0.9096 0.4080 0.1772
0.5904 0.0920 0.3228
0.0904 0.1772 0.5920
0.4096 0.3228 0.9080
0.5904 0.9080 0.6772
0.4096 0.6772 0.0920
0.9096 0.5920 0.8228
0.5924 0.2186 0.6239
0.4076 0.3761 0.2186
0.9076 0.7186 0.1239
0.0924 0.8761 0.7186
0.0924 0.1239 0.2814
0.5924 0.7814 0.3761
0.9076 0.2814 0.8761
0.4076 0.6239 0.7814
0.5000 0.5000 0.5000
0.0000 0.0000 0.0000
```

No. 7
Compound: ErTm3Pd4
Source: Alexandria
Functional: PBE
Structure: optimized geometry

- total moment (μB/cell) = 0.00
- ΔH_f (0 K) (eV per atom) = -0.939
- electronic total energy (eV/cell) = -92.52
- D(E_F) (states/eV/f.u.) = 3.84
- space-group type = P4/mmm (123)

```
ErTm3Pd4
1.0
4.9346 0.0000 0.0000
0.0000 6.8232 0.0000
0.0000 0.0000 9.8752
Tm Er Pd
6 2 8
direct
0.0000 0.0000 0.0000
0.4996 0.0000 0.7500
0.4996 0.5000 0.7500
0.0000 0.0000 0.5000
0.5004 0.5000 0.2500
0.5004 0.0000 0.2500
0.0000 0.5000 0.5000
0.0000 0.5000 0.0000
0.0004 0.7509 0.2500
0.9996 0.2491 0.7500
0.5000 0.2490 0.5000
0.5000 0.7510 0.0000
0.0004 0.2491 0.2500
0.5000 0.2490 0.0000
0.9996 0.7509 0.7500
0.5000 0.7510 0.5000
```

No. 8
Compound: ErTm3Pd6
Source: Alexandria
Functional: PBE
Structure: optimized geometry

- total moment (μB/cell) = 0.00
- ΔH_f (0 K) (eV per atom) = -0.895
- electronic total energy (eV/cell) = -116.16
- D(E_F) (states/eV/f.u.) = 4.81
- space-group type = P2_1/m (11)

```
ErTm3Pd6
1.0
-1.9781 1.3142 4.2542
-6.5254 3.0279 -3.9696
-2.0235 -9.8237 2.0938
Tm Pd Er
6 12 2
direct
0.7500 0.2119 0.0116
0.2500 0.7881 0.9884
0.7500 0.4788 0.6139
0.7500 0.6425 0.1938
0.2500 0.3575 0.8062
0.2500 0.5212 0.3861
0.7500 0.9250 0.1030
0.7500 0.8532 0.7997
0.7500 0.5523 0.9073
0.7500 0.3613 0.3044
0.2500 0.2462 0.5139
0.2500 0.4477 0.0927
0.7500 0.7538 0.4861
0.2500 0.0750 0.8970
0.2500 0.8444 0.3012
0.7500 0.1556 0.6988
0.2500 0.6387 0.6956
0.2500 0.1468 0.2003
0.7500 0.0644 0.3887
0.2500 0.9356 0.6113
```

No. 9
Compound: Er3Tm2Pd2
Source: Alexandria
Functional: PBE
Structure: optimized geometry

- total moment (μB/cell) = 0.00
- ΔH_f (0 K) (eV per atom) = -0.544
- electronic total energy (eV/cell) = -36.82
- D(E_F) (states/eV/f.u.) = 8.42
- space-group type = C2/m (12)

```
Er3Tm2Pd2
1.0
-1.9749 2.7166 -1.4663
-3.8037 -5.1293 0.1998
0.6574 4.6291 7.6907
Pd Er Tm
2 3 2
direct
0.8270 0.6541 0.7645
0.1730 0.3459 0.2355
0.6126 0.2251 0.4392
0.3874 0.7749 0.5608
0.5000 0.0000 0.0000
0.8413 0.6825 0.1863
0.1587 0.3175 0.8137
```

No. 10
Compound: Er2Tm3Pd2
Source: Alexandria
Functional: PBE
Structure: optimized geometry

- total moment (μB/cell) = 0.01
- ΔH_f (0 K) (eV per atom) = -0.551
- electronic total energy (eV/cell) = -36.78
- D(E_F) (states/eV/f.u.) = 8.25
- space-group type = C2/m (12)

```
Er2Tm3Pd2
1.0
3.6613 0.0000 0.0000
-1.8307 6.0948 -0.4810
0.0000 -3.4146 8.3165
Er Pd Tm
2 2 3
direct
0.1577 0.3154 0.8132
0.8423 0.6846 0.1868
0.1716 0.3431 0.2364
0.8284 0.6569 0.7636
0.5000 0.0000 0.0000
0.3872 0.7745 0.5606
0.6128 0.2255 0.4394
```

No. 11
Compound: Er2TmPd4
Source: Alexandria
Functional: PBE
Structure: optimized geometry

- total moment (μB/cell) = 0.00
- ΔH_f (0 K) (eV per atom) = -0.504
- electronic total energy (eV/cell) = -37.90
- D(E_F) (states/eV/f.u.) = 3.33
- space-group type = C2/m (12)

```
Er2TmPd4
1.0
4.9928 1.2286 -0.8293
0.8407 5.0726 -0.8293
-0.0990 -0.1069 7.0884
Pd Tm Er
4 1 2
direct
0.7490 0.7490 0.6633
0.5000 0.0000 0.0000
0.2510 0.2510 0.3367
0.0000 0.5000 0.0000
0.0000 0.0000 0.0000
0.6066 0.6066 0.2870
0.3934 0.3934 0.7130
```

No. 12
Compound: ErTm4Pd5
Source: Alexandria
Functional: PBE
Structure: optimized geometry

- total moment (μB/cell) = 0.00
- ΔH_f (0 K) (eV per atom) = -0.929
- electronic total energy (eV/cell) = -57.70
- D(E_F) (states/eV/f.u.) = 8.23
- space-group type = P4/mmm (123)

```
ErTm4Pd5
1.0
3.4441 0.0000 0.0000
0.0000 3.4441 0.0000
0.0000 0.0000 17.5605
Pd Tm Er
5 4 1
direct
0.5000 0.5000 0.1013
0.5000 0.5000 0.3005
0.5000 0.5000 0.6995
0.5000 0.5000 0.5000
0.5000 0.5000 0.8987
0.0000 0.0000 0.7992
0.0000 0.0000 0.4003
0.0000 0.0000 0.2008
0.0000 0.0000 0.5997
0.0000 0.0000 0.0000
```